The following is a DFT calculation (PBE-GGA) of a relaxed Cs3LiCa crystal.

For the energy above the lowest structure with this stoichiometry, the calculation gives 0.000 eV/atom. The value obtained for the formation energy from the elements is 7.8 kcal/mol of atoms. The value obtained for the density is 1.77 Mg/m³. The calculation puts the total magnetic moment at 0.00 Bohr magnetons per cell.

The space group is Pm-3m (No. 221) and the conventional cell measures 7.485, 7.485 and 7.485 Å, with angles of 90.00, 90.00 and 90.00 degrees. The distinct sites, in fractional coordinates, are Cs at (0.000, 0.000, 0.500), Li at (0.000, 0.000, 0.000) and Ca at (0.500, 0.500, 0.500).

---

The following is a DFT calculation (PBE-GGA) of a relaxed Zr3NbOs4 crystal.

The value obtained for the formation energy from the elements is -9.5 kcal/mol of atoms. The value obtained for the density is 13.51 Mg/m³. The calculation puts the total magnetic moment at 0.00 Bohr magnetons per cell.

The space group is Pmmm (No. 47) and the conventional cell measures 3.251, 4.619 and 9.232 Å, with angles of 90.00, 90.00 and 90.00 degrees. The distinct sites, in fractional coordinates, are Zr at (0.000, 0.000, 0.000), Zr at (0.000, 0.500, 0.253), Nb at (0.000, 0.000, 0.500), Os at (0.500, 0.000, 0.256), Os at (0.500, 0.500, 0.000) and Os at (0.500, 0.500, 0.500).

---

- Which of these has the lowest density?
  Cs3LiCa